Density functional theory data (GGA-PBE) for a relaxed Pr2Tl2Rh3 crystal.

Properties
SG: I2_13 (199)
Density of states at the Fermi level: 9.8 states/eV/cell
Energy relative to the elements: -365 meV per atom

abc: 7.551 7.551 7.551
angles: 109.47 109.47 109.47
Atoms (fractional coordinates):
Pr (0.000, 0.029, 0.500)
Pr (0.029, 0.500, 0.000)
Pr (0.471, 0.471, 0.471)
Pr (0.500, 0.000, 0.029)
Tl (0.000, 0.611, 0.500)
Tl (0.500, 0.000, 0.611)
Tl (0.611, 0.500, 0.000)
Tl (0.889, 0.889, 0.889)
Rh (0.011, 0.250, 0.261)
Rh (0.239, 0.489, 0.750)
Rh (0.250, 0.261, 0.011)
Rh (0.261, 0.011, 0.250)
Rh (0.489, 0.750, 0.239)
Rh (0.750, 0.239, 0.489)